Entry 1:
{"formula": "Ho5SiSb2", "functional": "GGA-PBE", "state": "relaxed", "total_energy_ry_per_atom": -0.36850, "e_form_raw_ev_per_atom": -0.44, "lattice": [[2.9661, -6.2120, 0.0000], [2.9661, 6.2120, 0.0000], [0.0000, 0.0000, 13.8381]], "species": ["Ho", "Ho", "Ho", "Ho", "Ho", "Ho", "Ho", "Ho", "Ho", "Ho", "Si", "Si", "Sb", "Sb", "Sb", "Sb"], "frac_coords": [[0.0600, 0.9400, 0.6185], [0.0600, 0.9400, 0.8815], [0.3153, 0.6847, 0.2500], [0.3655, 0.6345, 0.5824], [0.3655, 0.6345, 0.9176], [0.6345, 0.3655, 0.0824], [0.6345, 0.3655, 0.4176], [0.6847, 0.3153, 0.7500], [0.9400, 0.0600, 0.1185], [0.9400, 0.0600, 0.3815], [0.2271, 0.7729, 0.7500], [0.7729, 0.2271, 0.2500], [0.1784, 0.8216, 0.0712], [0.1784, 0.8216, 0.4288], [0.8216, 0.1784, 0.5712], [0.8216, 0.1784, 0.9288]]}

Entry 2:
{"formula": "Ba2InPtBr", "functional": "GGA-PBE", "state": "relaxed", "total_energy_ry_per_atom": -0.27861, "e_form_raw_ev_per_atom": -0.93, "lattice": [[6.2613, 0.0000, 0.0000], [0.0000, 6.2613, 0.0000], [0.0000, 0.0000, 5.1160]], "species": ["Ba", "Ba", "In", "Pt", "Br"], "frac_coords": [[0.0000, 0.5000, 0.0000], [0.5000, 0.0000, 0.0000], [0.0000, 0.0000, 0.5000], [0.0000, 0.0000, 0.0000], [0.5000, 0.5000, 0.5000]]}

Entry 3:
{"formula": "BaTaIr2O8", "functional": "GGA-PBE", "state": "relaxed", "total_energy_ry_per_atom": -0.53042, "e_form_raw_ev_per_atom": -1.29, "lattice": [[5.8246, 0.0000, 0.0000], [-2.9123, 5.0443, 0.0000], [0.0000, 0.0000, 7.3480]], "species": ["Ba", "Ta", "Ir", "Ir", "O", "O", "O", "O", "O", "O", "O", "O"], "frac_coords": [[0.0000, 0.0000, 0.0000], [0.0000, 0.0000, 0.5000], [0.3333, 0.6667, 0.7367], [0.6667, 0.3333, 0.2633], [0.1093, 0.3030, 0.6708], [0.1937, 0.8907, 0.6708], [0.3030, 0.1937, 0.3292], [0.3333, 0.6667, 0.9858], [0.6667, 0.3333, 0.0142], [0.6970, 0.8063, 0.6708], [0.8063, 0.1093, 0.3292], [0.8907, 0.6970, 0.3292]]}

Entry 4:
{"formula": "MgSe2NO", "functional": "GGA-PBE", "state": "relaxed", "total_energy_ry_per_atom": -0.22649, "e_above_lowest_polymorph_mev_per_atom": 465, "e_form_raw_ev_per_atom": 1.29, "lattice": [[5.0810, 0.0000, 0.0000], [0.0000, 5.0810, 0.0000], [0.0000, 0.0000, 3.9801]], "species": ["Mg", "Se", "Se", "N", "O"], "frac_coords": [[0.0000, 0.0000, 0.0000], [0.0000, 0.5000, 0.0000], [0.5000, 0.0000, 0.0000], [0.0000, 0.0000, 0.5000], [0.5000, 0.5000, 0.5000]]}